The following is a DFT calculation (PBE-GGA) of a relaxed Bi2IrBr crystal.

Lattice parameters (Å, degrees): 6.811 6.811 7.934 64.58 64.58 90.00
Positions (direct):
Ir 0.000 0.000 0.000
Ir 0.750 0.250 0.500
Bi 0.701 0.125 0.250
Bi 0.049 0.625 0.250
Bi 0.375 0.299 0.750
Bi 0.875 0.951 0.750
Br 0.500 0.500 0.000
Br 0.250 0.750 0.500

## Properties
Calculated volume in Å³ per atom: 36.558
Total moment in μB per formula unit: 0.00
Space group: No. 122
Crystal system: tetragonal
Formation energy without anion corrections in eV/atom: 0.156
Calculated density in g/cm³: 7.8
N(E_F) in states/eV/cell: 2.3